Entry 1:
This record from Alexandria via LeMat-Bulk describes a geometry-optimized LiLa4Ga structure. The functional is PBE-GGA.

## Properties
DOS at the Fermi energy: 14.063 states/eV per cell
DFT formation energy: -0.2 eV/f.u.

a b c (Å): 14.091 14.091 7.379
angles (deg): 90.00 90.00 165.39
Sites, in units of the cell vectors:
Li  0.080  0.920  0.500
Li  0.920  0.080  0.000
La  0.032  0.968  0.125
La  0.190  0.810  0.054
La  0.195  0.805  0.540
La  0.402  0.598  0.347
La  0.598  0.402  0.847
La  0.805  0.195  0.040
La  0.810  0.190  0.554
La  0.968  0.032  0.625
Ga  0.379  0.621  0.784
Ga  0.621  0.379  0.284

***

Entry 2:
This record from Alexandria via LeMat-Bulk describes a geometry-optimized LiLa2Ga structure. The functional is PBE-GGA.

## Properties
DOS at the Fermi energy: 4.562 states/eV per cell
DFT formation energy: -1.1 eV/f.u.

a b c (Å): 5.270 5.270 3.936
angles (deg): 90.00 90.00 90.00
Sites, in units of the cell vectors:
Li  0.000  0.000  0.000
La  0.000  0.500  0.500
La  0.500  0.000  0.500
Ga  0.500  0.500  0.000